# 1
Material: Sm2Al6Rh
Method: DFT, PBE-GGA
State: relaxed

## Properties
Calculated formation energy   -0.55 eV/atom
VASP energy   -4.9132 eV per atom
Density   5.34 g cm⁻³
Total magnetic moment   0.00 μB per cell

The structure in CIF format:
```
data_Sm2Al6Rh
_chemical_formula_sum 'Sm2 Al6 Rh1'
_cell_length_a 5.8991
_cell_length_b 5.8991
_cell_length_c 5.8359
_cell_angle_alpha 90.00
_cell_angle_beta 90.00
_cell_angle_gamma 120.00
_space_group_name_H-M_alt 'P -3 m 1'
_space_group_IT_number 164
_space_group_name_Hall '-P 3 2"'
loop_
_atom_site_label
_atom_site_type_symbol
_atom_site_fract_x
_atom_site_fract_y
_atom_site_fract_z
Sm1 Sm 0.3333 0.6667 0.1493
Al1 Al 0.1713 0.3426 0.6838
Rh1 Rh 0.0000 0.0000 0.0000
```

=====

# 2
Material: La5Zn4Ni
Method: DFT, PBE-GGA
State: relaxed

## Properties
Calculated formation energy   -0.29 eV/atom
VASP energy   -3.8458 eV per atom
Density   6.53 g cm⁻³
Total magnetic moment   0.00 μB per cell

The structure in CIF format:
```
data_La5Zn4Ni
_chemical_formula_sum 'La5 Zn4 Ni1'
_cell_length_a 3.7250
_cell_length_b 3.7250
_cell_length_c 18.5999
_cell_angle_alpha 90.00
_cell_angle_beta 90.00
_cell_angle_gamma 90.00
_space_group_name_H-M_alt 'P 4/m m m'
_space_group_IT_number 123
_space_group_name_Hall '-P 4 2'
loop_
_atom_site_label
_atom_site_type_symbol
_atom_site_fract_x
_atom_site_fract_y
_atom_site_fract_z
La1 La 0.0000 0.0000 0.0000
La2 La 0.0000 0.0000 0.2041
La3 La 0.0000 0.0000 0.4107
Zn1 Zn 0.5000 0.5000 0.1024
Zn2 Zn 0.5000 0.5000 0.3045
Ni1 Ni 0.5000 0.5000 0.5000
```

=====

# 3
Material: LiHSeN2
Method: DFT, PBE-GGA
State: relaxed

## Properties
VASP energy   -3.5364 eV per atom
Density   3.89 g cm⁻³
Total magnetic moment   0.45 μB per cell
Offset from the most stable computed form   0 meV per atom

The structure in CIF format:
```
data_LiHSeN2
_chemical_formula_sum 'Li1 H1 Se1 N2'
_cell_length_a 3.7749
_cell_length_b 3.7749
_cell_length_c 3.4417
_cell_angle_alpha 90.00
_cell_angle_beta 90.00
_cell_angle_gamma 90.00
_space_group_name_H-M_alt 'P 4/m m m'
_space_group_IT_number 123
_space_group_name_Hall '-P 4 2'
loop_
_atom_site_label
_atom_site_type_symbol
_atom_site_fract_x
_atom_site_fract_y
_atom_site_fract_z
Li1 Li 0.0000 0.0000 0.0000
H1 H 0.5000 0.5000 0.5000
Se1 Se 0.5000 0.5000 0.0000
N1 N 0.0000 0.5000 0.5000
```

=====

# 4
Material: ZnRu3
Method: DFT, PBE-GGA
State: relaxed

## Properties
Calculated formation energy   0.12 eV/atom
VASP energy   -7.1574 eV per atom
Density   10.94 g cm⁻³
Total magnetic moment   0.00 μB per cell

The structure in CIF format:
```
data_ZnRu3
_chemical_formula_sum 'Zn4 Ru12'
_cell_length_a 4.7384
_cell_length_b 8.7325
_cell_length_c 5.4099
_cell_angle_alpha 90.00
_cell_angle_beta 90.00
_cell_angle_gamma 90.00
_space_group_name_H-M_alt 'P n m a'
_space_group_IT_number 62
loop_
_space_group_symop_operation_xyz
'x,y,z'
'-x,-y,-z'
'-x+1/2,-y,z+1/2'
'x+1/2,y,-z+1/2'
'x+1/2,-y+1/2,-z+1/2'
'-x+1/2,y+1/2,z+1/2'
'-x,y+1/2,-z'
'x,-y+1/2,z'
loop_
_atom_site_label
_atom_site_type_symbol
_atom_site_fract_x
_atom_site_fract_y
_atom_site_fract_z
Zn1 Zn 0.0760 0.2500 0.1349
Ru1 Ru 0.0764 0.2500 0.6360
Ru2 Ru 0.2420 0.5038 0.3815
```

=====

# 5
Material: Tb2Pr2HoSc
Method: DFT, PBE-GGA
State: relaxed

## Properties
Calculated formation energy   0.10 eV/atom
VASP energy   -4.8573 eV per atom
Density   7.08 g cm⁻³
Total magnetic moment   0.00 μB per cell

The structure in CIF format:
```
data_Tb2Pr2HoSc
_chemical_formula_sum 'Tb4 Pr4 Ho2 Sc2'
_cell_length_a 6.9192
_cell_length_b 5.6282
_cell_length_c 9.7532
_cell_angle_alpha 90.00
_cell_angle_beta 90.00
_cell_angle_gamma 90.00
_space_group_name_H-M_alt 'P m m a'
_space_group_IT_number 51
loop_
_space_group_symop_operation_xyz
'x,y,z'
'-x,-y,-z'
'-x+1/2,-y,z'
'x+1/2,y,-z'
'x+1/2,-y,-z'
'-x+1/2,y,z'
'-x,y,-z'
'x,-y,z'
loop_
_atom_site_label
_atom_site_type_symbol
_atom_site_fract_x
_atom_site_fract_y
_atom_site_fract_z
Tb1 Tb 0.2500 0.0000 0.1661
Tb2 Tb 0.2500 0.5000 0.6662
Pr1 Pr 0.0000 0.0000 0.5000
Pr2 Pr 0.2500 0.5000 0.3138
Ho1 Ho 0.2500 0.0000 0.8472
Sc1 Sc 0.0000 0.5000 0.0000
```

=====

# 6
Material: Ca8As5Cl
Method: DFT, PBE-GGA
State: relaxed

## Properties
Energy relative to the elements, uncorrected   -1.3157 eV per atom
VASP energy   -4.2519 eV per atom
Density   3.35 g cm⁻³
Total magnetic moment   0.00 μB per cell

The structure in CIF format:
```
data_Ca8As5Cl
_chemical_formula_sum 'Ca16 As10 Cl2'
_cell_length_a 8.9696
_cell_length_b 8.9696
_cell_length_c 9.0082
_cell_angle_alpha 90.00
_cell_angle_beta 90.00
_cell_angle_gamma 90.00
_space_group_name_H-M_alt 'I -4'
_space_group_IT_number 82
loop_
_space_group_symop_operation_xyz
'x,y,z'
'y,-x,-z'
'-x,-y,z'
'-y,x,-z'
'x+1/2,y+1/2,z+1/2'
'y+1/2,-x+1/2,-z+1/2'
'-x+1/2,-y+1/2,z+1/2'
'-y+1/2,x+1/2,-z+1/2'
loop_
_atom_site_label
_atom_site_type_symbol
_atom_site_fract_x
_atom_site_fract_y
_atom_site_fract_z
Ca1 Ca 0.0683 0.3257 0.0549
Ca2 Ca 0.0725 0.1896 0.6775
As1 As 0.0000 0.5000 0.7500
As2 As 0.1329 0.2505 0.3670
Cl1 Cl 0.0000 0.0000 0.0000
```

=====

# 7
Material: PdO2F
Method: DFT, PBE-GGA
State: relaxed

## Properties
Energy relative to the elements, uncorrected   -0.0346 eV per atom
VASP energy   -4.2798 eV per atom
Density   5.64 g cm⁻³
Total magnetic moment   0.00 μB per cell

The structure in CIF format:
```
data_PdO2F
_chemical_formula_sum 'Pd4 O8 F4'
_cell_length_a 6.5800
_cell_length_b 6.5800
_cell_length_c 4.2844
_cell_angle_alpha 90.00
_cell_angle_beta 90.00
_cell_angle_gamma 90.00
_space_group_name_H-M_alt 'I -4 2 d'
_space_group_IT_number 122
_space_group_name_Hall 'I -4 2bw'
loop_
_atom_site_label
_atom_site_type_symbol
_atom_site_fract_x
_atom_site_fract_y
_atom_site_fract_z
Pd1 Pd 0.0000 0.0000 0.0000
O1 O 0.1356 0.2500 0.1250
F1 F 0.0000 0.0000 0.5000
```

=====

# 8
Material: Pm2Nd5SmTh
Method: DFT, PBE-GGA
State: relaxed

## Properties
Calculated formation energy   0.15 eV/atom
VASP energy   -4.9027 eV per atom
Density   7.30 g cm⁻³
Total magnetic moment   0.00 μB per cell

The structure in CIF format:
```
data_Pm2Nd5SmTh
_chemical_formula_sum 'Pm8 Nd20 Sm4 Th4'
_cell_length_a 5.7655
_cell_length_b 20.6686
_cell_length_c 10.6372
_cell_angle_alpha 90.00
_cell_angle_beta 90.00
_cell_angle_gamma 90.00
_space_group_name_H-M_alt 'C m c 21'
_space_group_IT_number 36
loop_
_space_group_symop_operation_xyz
'x,y,z'
'-x,-y,z+1/2'
'-x,y,z'
'x,-y,z+1/2'
'x+1/2,y+1/2,z'
'-x+1/2,-y+1/2,z+1/2'
'-x+1/2,y+1/2,z'
'x+1/2,-y+1/2,z+1/2'
loop_
_atom_site_label
_atom_site_type_symbol
_atom_site_fract_x
_atom_site_fract_y
_atom_site_fract_z
Pm1 Pm 0.0000 0.1152 0.0000
Pm2 Pm 0.0000 0.1160 0.5860
Nd1 Nd 0.0000 0.0155 0.2884
Nd2 Nd 0.0000 0.2758 0.5834
Nd3 Nd 0.0000 0.2945 0.9727
Nd4 Nd 0.0000 0.3874 0.2937
Nd5 Nd 0.0000 0.4800 0.0106
Sm1 Sm 0.0000 0.4076 0.7211
Th1 Th 0.0000 0.1988 0.2805
```

=====

# 9
Material: KV2Br
Method: DFT, PBE-GGA
State: relaxed

## Properties
Energy relative to the elements, uncorrected   1.2894 eV per atom
VASP energy   -3.9625 eV per atom
Density   3.45 g cm⁻³
Total magnetic moment   37.77 μB per cell
Offset from the most stable computed form   449 meV per atom

The structure in CIF format:
```
data_KV2Br
_chemical_formula_sum 'K4 V8 Br4'
_cell_length_a 7.5235
_cell_length_b 7.5235
_cell_length_c 7.5235
_cell_angle_alpha 90.00
_cell_angle_beta 90.00
_cell_angle_gamma 90.00
_space_group_name_H-M_alt 'F m -3 m'
_space_group_IT_number 225
_space_group_name_Hall '-F 4 2 3'
loop_
_atom_site_label
_atom_site_type_symbol
_atom_site_fract_x
_atom_site_fract_y
_atom_site_fract_z
K1 K 0.0000 0.0000 0.0000
V1 V 0.2500 0.2500 0.2500
Br1 Br 0.0000 0.0000 0.5000
```

=====

# 10
Material: BiSbNF2
Method: DFT, PBE-GGA
State: relaxed

## Properties
Energy relative to the elements, uncorrected   -0.3299 eV per atom
VASP energy   -4.3442 eV per atom
Density   6.59 g cm⁻³
Total magnetic moment   1.24 μB per cell
Offset from the most stable computed form   101 meV per atom

The structure in CIF format:
```
data_BiSbNF2
_chemical_formula_sum 'Bi1 Sb1 N1 F2'
_cell_length_a 4.4806
_cell_length_b 4.4806
_cell_length_c 4.8046
_cell_angle_alpha 90.00
_cell_angle_beta 90.00
_cell_angle_gamma 90.00
_space_group_name_H-M_alt 'P 4/m m m'
_space_group_IT_number 123
_space_group_name_Hall '-P 4 2'
loop_
_atom_site_label
_atom_site_type_symbol
_atom_site_fract_x
_atom_site_fract_y
_atom_site_fract_z
Bi1 Bi 0.0000 0.0000 0.0000
Sb1 Sb 0.5000 0.5000 0.5000
N1 N 0.0000 0.0000 0.5000
F1 F 0.0000 0.5000 0.0000
```

=====

# 11
Material: InTcHg2
Method: DFT, PBE-GGA
State: relaxed

## Properties
Calculated formation energy   0.53 eV/atom
VASP energy   -2.8944 eV per atom
Density   12.42 g cm⁻³
Total magnetic moment   1.76 μB per cell

The structure in CIF format:
```
data_InTcHg2
_chemical_formula_sum 'In1 Tc1 Hg2'
_cell_length_a 3.2768
_cell_length_b 4.2324
_cell_length_c 5.9204
_cell_angle_alpha 90.00
_cell_angle_beta 90.00
_cell_angle_gamma 90.00
_space_group_name_H-M_alt 'P m m m'
_space_group_IT_number 47
loop_
_space_group_symop_operation_xyz
'x,y,z'
'-x,-y,-z'
'-x,-y,z'
'x,y,-z'
'x,-y,-z'
'-x,y,z'
'-x,y,-z'
'x,-y,z'
loop_
_atom_site_label
_atom_site_type_symbol
_atom_site_fract_x
_atom_site_fract_y
_atom_site_fract_z
In1 In 0.0000 0.0000 0.0000
Tc1 Tc 0.0000 0.0000 0.5000
Hg1 Hg 0.5000 0.5000 0.2639
```

=====

# 12
Material: PmCl2
Method: DFT, PBE-GGA
State: relaxed

## Properties
Energy relative to the elements, uncorrected   -1.9607 eV per atom
VASP energy   -4.7753 eV per atom
Density   3.90 g cm⁻³
Total magnetic moment   0.00 μB per cell
Offset from the most stable computed form   53 meV per atom

The structure in CIF format:
```
data_PmCl2
_chemical_formula_sum 'Pm2 Cl4'
_cell_length_a 6.6667
_cell_length_b 3.8520
_cell_length_c 7.4924
_cell_angle_alpha 90.00
_cell_angle_beta 107.17
_cell_angle_gamma 90.00
_space_group_name_H-M_alt 'C 1 2/m 1'
_space_group_IT_number 12
loop_
_space_group_symop_operation_xyz
'x,y,z'
'-x,-y,-z'
'-x,y,-z'
'x,-y,z'
'x+1/2,y+1/2,z'
'-x+1/2,-y+1/2,-z'
'-x+1/2,y+1/2,-z'
'x+1/2,-y+1/2,z'
loop_
_atom_site_label
_atom_site_type_symbol
_atom_site_fract_x
_atom_site_fract_y
_atom_site_fract_z
Pm1 Pm 0.0000 0.0000 0.0000
Cl1 Cl 0.2468 0.5000 0.2422
```

=====

Question: Which formula does entry 9 have?
Answer: KV2Br

=====

Repeat the fifth record exactly.
Material: Tb2Pr2HoSc
Method: DFT, PBE-GGA
State: relaxed

## Properties
Calculated formation energy   0.10 eV/atom
VASP energy   -4.8573 eV per atom
Density   7.08 g cm⁻³
Total magnetic moment   0.00 μB per cell

The structure in CIF format:
```
data_Tb2Pr2HoSc
_chemical_formula_sum 'Tb4 Pr4 Ho2 Sc2'
_cell_length_a 6.9192
_cell_length_b 5.6282
_cell_length_c 9.7532
_cell_angle_alpha 90.00
_cell_angle_beta 90.00
_cell_angle_gamma 90.00
_space_group_name_H-M_alt 'P m m a'
_space_group_IT_number 51
loop_
_space_group_symop_operation_xyz
'x,y,z'
'-x,-y,-z'
'-x+1/2,-y,z'
'x+1/2,y,-z'
'x+1/2,-y,-z'
'-x+1/2,y,z'
'-x,y,-z'
'x,-y,z'
loop_
_atom_site_label
_atom_site_type_symbol
_atom_site_fract_x
_atom_site_fract_y
_atom_site_fract_z
Tb1 Tb 0.2500 0.0000 0.1661
Tb2 Tb 0.2500 0.5000 0.6662
Pr1 Pr 0.0000 0.0000 0.5000
Pr2 Pr 0.2500 0.5000 0.3138
Ho1 Ho 0.2500 0.0000 0.8472
Sc1 Sc 0.0000 0.5000 0.0000
```